Entry 1:
A relaxed structure of SmTlNO, computed with PBE.

abc: 4.003 6.008 6.583
angles: 90.00 90.00 90.00
Sites, in units of the cell vectors:
N  0.000  0.877  0.348
N  0.000  0.377  0.652
O  0.500  0.403  0.182
O  0.500  0.903  0.818
Sm  0.000  0.492  0.318
Sm  0.000  0.992  0.682
Tl  0.500  0.982  0.188
Tl  0.500  0.482  0.812

Values from the calculation:
E: -6.12 eV per atom
M_tot: 0.00 μB/cell
energy above the lowest structure with this stoichiometry: 150 meV/atom
V: 158.3 Å³/cell

***

Entry 2:
A relaxed structure of YNbH4, computed with PBE.

abc: 3.452 3.452 4.718
angles: 90.00 90.00 90.00
Sites, in units of the cell vectors:
H  0.500  0.000  0.287
H  0.000  0.500  0.287
H  0.500  0.000  0.713
H  0.000  0.500  0.713
Nb  0.500  0.500  0.500
Y  0.000  0.000  0.000

Values from the calculation:
E: -5.43 eV per atom
M_tot: 0.03 μB/cell
V: 56.2 Å³/cell